No. 1
MgTa2Cl8: relaxed, PBE.

a = 6.380 Å, b = 7.033 Å, c = 7.033 Å
α = 55.33°, β = 97.52°, γ = 97.52°
Element x y z (fractional)
Mg  0.000  0.000  0.000
Ta  0.504  0.749  0.749
Ta  0.496  0.251  0.251
Cl  0.293  0.361  0.881
Cl  0.707  0.119  0.639
Cl  0.200  0.851  0.851
Cl  0.800  0.149  0.149
Cl  0.293  0.881  0.361
Cl  0.707  0.639  0.119
Cl  0.759  0.634  0.634
Cl  0.241  0.366  0.366

Computed properties:
space group = C2/m (12)
DFT total energy = -52.20 eV per cell
energy relative to the elements, uncorrected = -1.10 eV per atom

No. 2
Mg2TaCl: relaxed, PBE.

a = 5.008 Å, b = 5.008 Å, c = 5.008 Å
α = 60.00°, β = 60.00°, γ = 60.00°
Element x y z (fractional)
Mg  0.250  0.250  0.250
Mg  0.750  0.750  0.750
Cl  0.000  0.000  0.000
Ta  0.500  0.500  0.500

Computed properties:
space group = Fm-3m (225)
DFT total energy = -13.65 eV per cell
energy relative to the elements, uncorrected = 0.81 eV per atom

No. 3
Mg2TaCl: relaxed, PBE.

a = 3.009 Å, b = 3.009 Å, c = 11.068 Å
α = 90.00°, β = 90.00°, γ = 112.99°
Element x y z (fractional)
Cl  0.500  0.500  0.673
Mg  0.000  0.000  0.041
Mg  0.500  0.500  0.284
Ta  0.000  0.000  0.502

Computed properties:
space group = Cmm2 (35)
DFT total energy = -17.03 eV per cell
energy relative to the elements, uncorrected = -0.03 eV per atom

No. 4
Mg2TaCl: relaxed, PBE.

a = 2.961 Å, b = 4.759 Å, c = 5.734 Å
α = 90.00°, β = 90.00°, γ = 90.00°
Element x y z (fractional)
Cl  0.500  0.500  0.736
Mg  0.000  0.000  0.000
Mg  0.500  0.500  0.274
Ta  0.000  0.000  0.489

Computed properties:
space group = Pmm2 (25)
DFT total energy = -15.72 eV per cell
energy relative to the elements, uncorrected = 0.29 eV per atom